# 1
Computed, not measured: an optimized crystal structure of Co2IrRu at the PBE level of DFT.

Unit cell a=2.710 b=4.504 c=8.676 alpha=90.00 beta=90.00 gamma=90.00
Space group Cmm2 (No. 35)
Inequivalent atoms, fractional coordinates:
Co: 0.000 0.000 0.000 (multiplicity 2)
Co: 0.000 0.500 0.228 (multiplicity 2)
Ir: 0.000 0.000 0.481 (multiplicity 2)
Ru: 0.000 0.500 0.751 (multiplicity 2)

Summary:
- energy relative to the elements (eV/atom) = 0.34
- E (eV per cell) = -61.99
- density of states at the Fermi level (states/eV per atom) = 1.451
- magnetic moment (μB per formula unit) = 4.485

=====

# 2
Computed, not measured: an optimized crystal structure of Co3IrRu at the PBE level of DFT.

Unit cell a=4.483 b=4.483 c=4.483 alpha=90.00 beta=90.00 gamma=90.00
Space group Pm-3m (No. 221)
Inequivalent atoms, fractional coordinates:
Co: 0.000 0.000 0.500 (multiplicity 3)
Ir: 0.000 0.000 0.000 (multiplicity 1)
Ru: 0.500 0.500 0.500 (multiplicity 1)

Summary:
- energy relative to the elements (eV/atom) = 1.69
- E (eV per cell) = -31.02
- density of states at the Fermi level (states/eV per atom) = 1.676
- energy above the lowest structure with this stoichiometry (eV per formula unit) = 0.000
- magnetic moment (μB per formula unit) = 8.944